(1)
Compound: Ga2Ag2B
Source: the Alexandria database
Functional: PBE
Structure: optimized geometry

```
Ga2Ag2B
1.0
6.198 0.000 0.000
0.000 6.198 0.000
0.000 0.000 4.821
Ga Ag B
4 4 2
Direct
0.146 0.354 0.000
0.354 0.854 0.000
0.646 0.146 0.000
0.854 0.646 0.000
0.225 0.725 0.500
0.275 0.225 0.500
0.725 0.775 0.500
0.775 0.275 0.500
0.000 0.000 0.500
0.500 0.500 0.500
```

Energy relative to the lowest polymorph listed for this composition in eV/atom: 0.0000
Formation energy from the elements in eV per atom: 0.5733
Total moment in μB/f.u.: 0.000


(2)
Compound: Nd4SmDy10
Source: the Alexandria database
Functional: PBE
Structure: optimized geometry

```
Nd4SmDy10
1.0
-6.118 6.118 3.880
6.118 -6.118 3.880
6.118 6.118 -3.880
Nd Sm Dy
4 1 10
Direct
0.101 0.701 0.801
0.299 0.101 0.400
0.701 0.899 0.600
0.899 0.299 0.199
0.500 0.500 0.000
0.051 0.350 0.899
0.152 0.051 0.701
0.250 0.750 0.500
0.350 0.451 0.299
0.451 0.152 0.101
0.549 0.848 0.899
0.650 0.549 0.701
0.750 0.250 0.500
0.848 0.949 0.299
0.949 0.650 0.101
```

Formation energy from the elements in eV per atom: 0.7586
Total moment in μB/f.u.: 0.000


(3)
Compound: NaNiAg2
Source: the Alexandria database
Functional: PBE
Structure: optimized geometry

```
NaNiAg2
1.0
6.477 0.000 0.000
0.000 6.477 0.000
0.000 0.000 6.477
Na Ni Ag
4 4 8
Direct
0.000 0.000 0.000
0.000 0.500 0.500
0.500 0.000 0.500
0.500 0.500 0.000
0.000 0.000 0.500
0.000 0.500 0.000
0.500 0.000 0.000
0.500 0.500 0.500
0.250 0.250 0.250
0.250 0.250 0.750
0.250 0.750 0.250
0.250 0.750 0.750
0.750 0.250 0.250
0.750 0.250 0.750
0.750 0.750 0.250
0.750 0.750 0.750
```

Energy relative to the lowest polymorph listed for this composition in eV/atom: 0.0000
Formation energy from the elements in eV per atom: 0.2610
Total moment in μB/f.u.: 0.000